Below is crystalline TlW3Se6 at its relaxed geometry, with properties calculated at the PBE level.

```
TlW3Se6
1.0
13.948 0.000 0.000
0.000 3.374 0.000
-5.623 0.000 13.201
Tl W Se
2 6 12
direct
0.136 0.250 0.168 Tl
0.864 0.750 0.832 Tl
0.046 0.250 0.583 W
0.182 0.750 0.869 W
0.358 0.250 0.948 W
0.642 0.750 0.052 W
0.818 0.250 0.131 W
0.954 0.750 0.417 W
0.003 0.750 0.699 Se
0.075 0.250 0.930 Se
0.148 0.750 0.524 Se
0.232 0.250 0.761 Se
0.307 0.750 0.053 Se
0.466 0.750 0.888 Se
0.534 0.250 0.112 Se
0.693 0.250 0.947 Se
0.768 0.750 0.239 Se
0.852 0.250 0.476 Se
0.925 0.750 0.070 Se
0.997 0.250 0.301 Se
```

Calculated values
- DFT total energy (eV/atom) = -6.612
- uncorrected formation energy (kJ per mole of atoms) = -38.5
- space-group type = P2_1/m (11)